w:
## La4ZnGa (GGA-PBE)

Data for La4ZnGa after structural relaxation.

Cell: 11.9574 3.7578 8.9555 Å, 90.00 106.28 90.00°
Space group Cm (No. 8)
Unique sites:
La (0.0000, 0.0000, 0.0000) (multiplicity 2)
La (0.0021, 0.5000, 0.6066) (multiplicity 2)
La (0.2373, 0.5000, 0.2919) (multiplicity 2)
La (0.2409, 0.0000, 0.9039) (multiplicity 2)
Zn (0.3009, 0.5000, 0.6573) (multiplicity 2)
Ga (0.4379, 0.0000, 0.2427) (multiplicity 2)

Values from the calculation:
density of states at the Fermi level = 8.29 states/eV/f.u.


x:
## La4ZnGa (GGA-PBE)

Data for La4ZnGa after structural relaxation.

Cell: 7.3722 7.3722 7.2898 Å, 90.00 90.10 90.00°
Space group C2/m (No. 12)
Unique sites:
La (0.2500, 0.2502, 0.2493) (multiplicity 8)
Zn (0.0000, 0.0000, 0.0000) (multiplicity 2)
Ga (0.0000, 0.5000, 0.5000) (multiplicity 2)

Values from the calculation:
density of states at the Fermi level = 8.66 states/eV/f.u.


Stability ranking, top and bottom: x is the most stable and w is the least stable.


w:
## La2Zr2Ga (GGA-PBE)

Data for La2Zr2Ga after structural relaxation.

Cell: 8.0925 8.0925 4.3267 Å, 90.00 90.00 90.00°
Space group P4/mbm (No. 127)
Unique sites:
La (0.1544, 0.3456, 0.0000) (multiplicity 4)
Zr (0.1465, 0.6465, 0.5000) (multiplicity 4)
Ga (0.0000, 0.0000, 0.0000) (multiplicity 2)

Values from the calculation:
density of states at the Fermi level = 4.20 states/eV/f.u.


x:
## La2Zr2Ga (GGA-PBE)

Data for La2Zr2Ga after structural relaxation.

Cell: 4.1544 4.1544 15.9131 Å, 90.00 90.00 90.00°
Space group I4/mmm (No. 139)
Unique sites:
La (0.0000, 0.5000, 0.2500) (multiplicity 4)
Zr (0.0000, 0.0000, 0.0756) (multiplicity 4)
Ga (0.0000, 0.0000, 0.5000) (multiplicity 2)

Values from the calculation:
density of states at the Fermi level = 6.93 states/eV/f.u.


Stability ranking, top and bottom: w is the most stable and x is the least stable.


w:
## LaZrGa (GGA-PBE)

Data for LaZrGa after structural relaxation.

Cell: 5.1858 5.1858 19.7091 Å, 90.00 90.00 120.00°
Space group R-3m (No. 166, hexagonal axes)
Unique sites:
La (0.0000, 0.0000, 0.1108) (multiplicity 6)
Zr (0.0000, 0.0000, 0.2982) (multiplicity 6)
Ga (0.0000, 0.0000, 0.4345) (multiplicity 6)

Values from the calculation:
density of states at the Fermi level = 4.23 states/eV/f.u.


x:
## LaZrGa (GGA-PBE)

Data for LaZrGa after structural relaxation.

Cell: 4.3886 4.3886 8.1652 Å, 90.00 90.00 90.00°
Space group P4/nmm (No. 129, origin choice 2)
Unique sites:
La (0.2500, 0.2500, 0.1525) (multiplicity 2)
Zr (0.2500, 0.7500, 0.5000) (multiplicity 2)
Ga (0.2500, 0.2500, 0.7369) (multiplicity 2)

Values from the calculation:
density of states at the Fermi level = 3.39 states/eV/f.u.


Stability ranking, top and bottom: x is the most stable and w is the least stable.


w:
## Li3Ga2 (GGA-PBE)

Data for Li3Ga2 after structural relaxation.

Cell: 4.3561 4.3561 13.8350 Å, 90.00 90.00 120.00°
Space group R-3m (No. 166, hexagonal axes)
Unique sites:
Li (0.0000, 0.0000, 0.0000) (multiplicity 3)
Li (0.0000, 0.0000, 0.4033) (multiplicity 6)
Ga (0.0000, 0.0000, 0.2024) (multiplicity 6)

Values from the calculation:
density of states at the Fermi level = 0.93 states/eV/f.u.


x:
## Li3Ga2 (GGA-PBE)

Data for Li3Ga2 after structural relaxation.

Cell: 9.3336 13.5534 5.1127 Å, 90.00 90.00 90.00°
Space group Fdd2 (No. 43)
Unique sites:
Li (0.0000, 0.0000, 0.0000) (multiplicity 8)
Li (0.0286, 0.1005, 0.4937) (multiplicity 16)
Ga (0.0153, 0.2008, 0.9657) (multiplicity 16)

Values from the calculation:
density of states at the Fermi level = 1.62 states/eV/f.u.


y:
## Li3Ga2 (GGA-PBE)

Data for Li3Ga2 after structural relaxation.

Cell: 5.4154 5.4154 10.1381 Å, 90.00 90.00 120.00°
Space group R-3m (No. 166, hexagonal axes)
Unique sites:
Li (0.0000, 0.5000, 0.0000) (multiplicity 9)
Ga (0.0000, 0.0000, 0.1257) (multiplicity 6)

Values from the calculation:
density of states at the Fermi level = 2.28 states/eV/f.u.


Stability ranking, top and bottom: w is the most stable and y is the least stable.


w:
## LiGa8 (GGA-PBE)

Data for LiGa8 after structural relaxation.

Cell: 10.0935 10.0935 3.2745 Å, 90.00 90.00 90.00°
Space group I4/mmm (No. 139)
Unique sites:
Li (0.0000, 0.0000, 0.0000) (multiplicity 2)
Ga (0.0000, 0.3326, 0.0000) (multiplicity 8)
Ga (0.1662, 0.1662, 0.5000) (multiplicity 8)

Values from the calculation:
density of states at the Fermi level = 4.61 states/eV/f.u.


x:
## LiGa8 (GGA-PBE)

Data for LiGa8 after structural relaxation.

Cell: 8.4643 8.4643 4.5817 Å, 90.00 90.00 90.00°
Space group I4/mmm (No. 139)
Unique sites:
Li (0.0000, 0.0000, 0.0000) (multiplicity 2)
Ga (0.0000, 0.3320, 0.0000) (multiplicity 8)
Ga (0.1659, 0.1659, 0.5000) (multiplicity 8)

Values from the calculation:
density of states at the Fermi level = 2.84 states/eV/f.u.


Stability ranking, top and bottom: x is the most stable and w is the least stable.


w:
## Li2Ga7 (GGA-PBE)

Data for Li2Ga7 after structural relaxation.

Cell: 12.3185 8.4864 7.4714 Å, 90.00 115.34 90.00°
Space group Cm (No. 8)
Unique sites:
Li (0.0000, 0.0000, 0.0000) (multiplicity 2)
Li (0.1983, 0.2025, 0.4248) (multiplicity 4)
Li (0.2638, 0.5000, 0.0585) (multiplicity 2)
Ga (0.0493, 0.3425, 0.0245) (multiplicity 4)
Ga (0.0843, 0.5000, 0.3564) (multiplicity 2)
Ga (0.1778, 0.0000, 0.7238) (multiplicity 2)
Ga (0.2156, 0.1600, 0.0481) (multiplicity 4)
Ga (0.3036, 0.5000, 0.6137) (multiplicity 2)
Ga (0.3260, 0.2569, 0.8324) (multiplicity 4)
Ga (0.3710, 0.0000, 0.3635) (multiplicity 2)
Ga (0.3944, 0.0000, 0.7094) (multiplicity 2)
Ga (0.4407, 0.2582, 0.2487) (multiplicity 4)
Ga (0.4623, 0.5000, 0.4650) (multiplicity 2)

Values from the calculation:
density of states at the Fermi level = 0.27 states/eV/f.u.


x:
## Li2Ga7 (GGA-PBE)

Data for Li2Ga7 after structural relaxation.

Cell: 5.4452 5.4452 41.3208 Å, 90.00 90.00 120.00°
Space group R-3m (No. 166, hexagonal axes)
Unique sites:
Li (0.0000, 0.0000, 0.0380) (multiplicity 6)
Li (0.0000, 0.0000, 0.1480) (multiplicity 6)
Ga (0.0000, 0.0000, 0.2753) (multiplicity 6)
Ga (0.0000, 0.0000, 0.3941) (multiplicity 6)
Ga (0.0000, 0.0000, 0.5000) (multiplicity 3)
Ga (0.0000, 0.5000, 0.0000) (multiplicity 9)
Ga (0.0092, 0.5046, 0.8846) (multiplicity 18)

Values from the calculation:
density of states at the Fermi level = 2.75 states/eV/f.u.


Stability ranking, top and bottom: w is the most stable and x is the least stable.